Computed, not measured: an optimized crystal structure of Zr2Ag2Pb at the GGA-PBEsol level of DFT.

The space group is I4/mmm (No. 139) and the conventional cell measures 4.1722, 4.1722 and 12.9569 Å, with angles of 90.00, 90.00 and 90.00 degrees. The inequivalent atoms are Zr at (0.0000, 0.5000, 0.2500), Ag at (0.0000, 0.0000, 0.0997) and Pb at (0.0000, 0.0000, 0.5000).

The value obtained for the formation energy from the elements is 0.242 eV/atom. The final energy is -5.52 eV per atom.